Entry 1:
# DyMg7Cd2In (PBE-GGA, optimized geometry)
data_DyMg7Cd2In
_chemical_formula_sum 'Dy1 Mg7 Cd2 In1'
_cell_length_a 14.298
_cell_length_b 14.298
_cell_length_c 14.298
_cell_angle_alpha 162.24
_cell_angle_beta 162.24
_cell_angle_gamma 25.22
_symmetry_space_group_name_H-M 'P 1'
_symmetry_Int_Tables_number 1
_symmetry_space_group_name_Hall 'P 1'
loop_
_atom_site_label
_atom_site_type_symbol
_atom_site_fract_x
_atom_site_fract_y
_atom_site_fract_z
Dy1 Dy 0.000 0.000 0.000
Mg1 Mg 0.087 0.587 0.500
Mg2 Mg 0.167 0.167 0.000
Mg3 Mg 0.331 0.331 0.000
Mg4 Mg 0.413 0.913 0.500
Mg5 Mg 0.669 0.669 0.000
Mg6 Mg 0.750 0.250 0.500
Mg7 Mg 0.833 0.833 0.000
Cd1 Cd 0.586 0.086 0.500
Cd2 Cd 0.914 0.414 0.500
In1 In 0.250 0.750 0.500
# ρ	4.11	Mg/m³

Entry 2:
# ScPb (PBE-GGA, optimized geometry)
data_ScPb
_chemical_formula_sum 'Sc2 Pb2'
_cell_length_a 3.474
_cell_length_b 3.474
_cell_length_c 10.422
_cell_angle_alpha 90.00
_cell_angle_beta 90.00
_cell_angle_gamma 120.00
_symmetry_space_group_name_H-M 'P 1'
_symmetry_Int_Tables_number 1
_symmetry_space_group_name_Hall 'P 1'
loop_
_atom_site_label
_atom_site_type_symbol
_atom_site_fract_x
_atom_site_fract_y
_atom_site_fract_z
Sc1 Sc 0.333 0.667 0.117
Sc2 Sc 0.667 0.333 0.883
Pb1 Pb 0.333 0.667 0.635
Pb2 Pb 0.667 0.333 0.365
# ρ	7.69	Mg/m³

Entry 3:
# KTc2Hg (PBE-GGA, optimized geometry)
data_KTc2Hg
_chemical_formula_sum 'K1 Tc2 Hg1'
_cell_length_a 2.780
_cell_length_b 5.502
_cell_length_c 5.309
_cell_angle_alpha 90.00
_cell_angle_beta 94.08
_cell_angle_gamma 90.00
_symmetry_space_group_name_H-M 'P 1'
_symmetry_Int_Tables_number 1
_symmetry_space_group_name_Hall 'P 1'
loop_
_atom_site_label
_atom_site_type_symbol
_atom_site_fract_x
_atom_site_fract_y
_atom_site_fract_z
K1 K 0.000 0.000 0.000
Tc1 Tc 0.388 0.500 0.779
Tc2 Tc 0.612 0.500 0.221
Hg1 Hg 0.500 0.000 0.500
# ρ	8.93	Mg/m³

Entry 4:
# Sr3Ge2Pt (PBE-GGA, optimized geometry)
data_Sr3Ge2Pt
_chemical_formula_sum 'Sr12 Ge8 Pt4'
_cell_length_a 7.815
_cell_length_b 10.171
_cell_length_c 9.479
_cell_angle_alpha 90.00
_cell_angle_beta 97.85
_cell_angle_gamma 90.00
_symmetry_space_group_name_H-M 'P 1'
_symmetry_Int_Tables_number 1
_symmetry_space_group_name_Hall 'P 1'
loop_
_atom_site_label
_atom_site_type_symbol
_atom_site_fract_x
_atom_site_fract_y
_atom_site_fract_z
Sr1 Sr 0.139 0.023 0.339
Sr2 Sr 0.139 0.477 0.839
Sr3 Sr 0.250 0.097 0.933
Sr4 Sr 0.250 0.403 0.433
Sr5 Sr 0.339 0.700 0.178
Sr6 Sr 0.339 0.800 0.678
Sr7 Sr 0.661 0.200 0.322
Sr8 Sr 0.661 0.300 0.822
Sr9 Sr 0.750 0.597 0.567
Sr10 Sr 0.750 0.903 0.067
Sr11 Sr 0.861 0.523 0.161
Sr12 Sr 0.861 0.977 0.661
Ge1 Ge 0.082 0.691 0.414
Ge2 Ge 0.082 0.809 0.914
Ge3 Ge 0.474 0.088 0.605
Ge4 Ge 0.474 0.412 0.105
Ge5 Ge 0.526 0.588 0.895
Ge6 Ge 0.526 0.912 0.395
Ge7 Ge 0.918 0.191 0.086
Ge8 Ge 0.918 0.309 0.586
Pt1 Pt 0.181 0.175 0.623
Pt2 Pt 0.181 0.325 0.123
Pt3 Pt 0.819 0.675 0.877
Pt4 Pt 0.819 0.825 0.377
# ρ	5.37	Mg/m³

no.,formation energy from the elements (kJ per mole of atoms),N(E_F) (states/eV/f.u.)
1,1,6.77
2,-2,2.19
3,107,3.50
4,-61,3.75